Pb2Cl | PBE-GGA | relaxed

Unit cell a=5.8793 b=5.8793 c=10.3032 alpha=61.64 beta=61.64 gamma=35.16
Fractional positions:
1 Pb 0.9651 0.9651 0.7991
2 Pb 0.6602 0.6602 0.4421
3 Pb 0.0349 0.0349 0.2009
4 Pb 0.3398 0.3398 0.5579
5 Cl 0.3204 0.3204 0.1096
6 Cl 0.6796 0.6796 0.8904

Values from the calculation:
* space group: C2/m (12)
* excess energy over the best structure of this formula in the dataset: 15.6 meV/atom
* formation energy without anion corrections: -0.37 eV per atom
* total energy: -20.77 eV for the cell shown